Compound: MgAs2Ru
Source: Alexandria via LeMat-Bulk
Functional: PBE-GGA
Structure: relaxed

Cell: 3.083 3.082 7.140 Å, 90.00 90.00 90.00°
Positions (direct):
Mg (0.500, 0.500, 0.250)
As (0.000, 0.000, 0.534)
As (0.000, 0.000, 0.966)
Ru (0.500, 0.500, 0.750)

N(E_F): 3.418 states/eV per cell
Final energy: -5.1850 eV/atom
SG: P4/mmm (123)